Entry 1:
Entry from Alexandria: a PBEsol-optimized structure of Eu2TlIn (meta-GGA SCAN).

Formation enthalpy at 0 K = -610 meV/atom
Magnetization = 57.37 μB per cell

abc: 7.7456 7.7456 7.7456
angles: 90.00 90.00 90.00
Closest atoms and distances in Å follow each position.
Space group Fm-3m (No. 225)
Asymmetric unit:
Eu 0.2500 0.2500 0.2500 [8 per cell]  4 Tl 3.35, 4 In 3.35
Tl 0.0000 0.0000 0.0000 [4 per cell]  8 Eu 3.35
In 0.0000 0.0000 0.5000 [4 per cell]  8 Eu 3.35



Entry 2:
Entry from Alexandria: a PBEsol-optimized structure of LaBSb2Te (meta-GGA SCAN).

Distance to the lowest polymorph of the same formula = 0.0000 eV/atom
Formation energy from raw total energies = 23 meV/atom
Magnetization = 0.00 μB per cell

abc: 4.8627 4.8627 5.0663
angles: 90.00 90.00 90.00
Closest atoms and distances in Å follow each position.
Space group P4/mmm (No. 123)
Asymmetric unit:
La 0.0000 0.0000 0.0000 [1 per cell]  4 Te 3.44, 8 Sb 3.51
B 0.5000 0.5000 0.5000 [1 per cell]  4 Sb 2.43, 2 Te 2.53
Sb 0.0000 0.5000 0.5000 [2 per cell]  2 B 2.43
Te 0.5000 0.5000 0.0000 [1 per cell]  2 B 2.53



Entry 3:
Entry from Alexandria: a PBEsol-optimized structure of Li2LaTa (meta-GGA SCAN).

Distance to the lowest polymorph of the same formula = 0.0427 eV/atom
Formation enthalpy at 0 K = 509 meV/atom
Magnetization = 0.00 μB per cell

abc: 3.0415 4.9423 11.0700
angles: 90.00 90.00 90.00
Closest atoms and distances in Å follow each position.
Space group Cmmm (No. 65)
Asymmetric unit:
Li 0.0000 0.0000 0.2248 [4 per cell]  6 Li 2.90-3.04, 2 Ta 2.92
La 0.0000 0.5000 0.5000 [2 per cell]  6 La 2.90-3.04
Ta 0.0000 0.5000 0.0000 [2 per cell]  6 Ta 2.90-3.04, 4 Li 2.92



Entry 4:
Entry from Alexandria: a PBEsol-optimized structure of Mg2ScZn (meta-GGA SCAN).

Formation enthalpy at 0 K = -133 meV/atom
Magnetization = 0.12 μB per cell

abc: 4.4996 3.1169 11.5244
angles: 90.00 90.00 90.00
Closest atoms and distances in Å follow each position.
Space group Amm2 (No. 38)
Asymmetric unit:
Mg 0.0000 0.0000 0.0000 [2 per cell]  2 Zn 2.75, 4 Mg 3.03
Mg 0.5000 0.0000 0.3863 [2 per cell]  1 Zn 2.87, 6 Mg 3.03-3.12
Sc 0.0000 0.0000 0.7314 [2 per cell]  4 Zn 2.94, 7 Mg 3.09-3.27, 2 Sc 3.12
Zn 0.5000 0.0000 0.1376 [2 per cell]  3 Mg 2.75-2.87, 4 Sc 2.94



Entry 5:
Entry from Alexandria: a PBEsol-optimized structure of CdPbAu2 (meta-GGA SCAN).

Formation enthalpy at 0 K = 63 meV/atom
Magnetization = 0.00 μB per cell

abc: 6.9147 6.9147 6.9147
angles: 90.00 90.00 90.00
Closest atoms and distances in Å follow each position.
Space group F-43m (No. 216)
Asymmetric unit:
Cd 0.0000 0.0000 0.0000 [4 per cell]  4 Au 2.99, 4 Pb 2.99
Pb 0.2500 0.2500 0.2500 [4 per cell]  4 Cd 2.99, 4 Au 2.99
Au 0.0000 0.0000 0.5000 [4 per cell]  4 Pb 2.99, 4 Au 2.99
Au 0.2500 0.2500 0.7500 [4 per cell]  4 Cd 2.99, 4 Au 2.99



Entry 6:
Entry from Alexandria: a PBEsol-optimized structure of BaSrHg2 (meta-GGA SCAN).

Formation enthalpy at 0 K = -639 meV/atom
Magnetization = 0.00 μB per cell

abc: 5.2422 4.2533 12.1908
angles: 90.00 90.00 90.00
Closest atoms and distances in Å follow each position.
Space group Amm2 (No. 38)
Asymmetric unit:
Ba 0.0000 0.0000 0.0000 [2 per cell]  7 Hg 3.41-3.46
Sr 0.5000 0.0000 0.7223 [2 per cell]  7 Hg 3.36-3.49
Hg 0.0000 0.0000 0.2801 [2 per cell]  2 Hg 3.24, 3 Ba 3.41-3.42, 4 Sr 3.45
Hg 0.5000 0.0000 0.4358 [2 per cell]  2 Hg 3.24, 3 Sr 3.36-3.49, 4 Ba 3.46



Entry 7:
Entry from Alexandria: a PBEsol-optimized structure of ZnInPb (meta-GGA SCAN).

Formation enthalpy at 0 K = 171 meV/atom
Magnetization = 0.00 μB per cell

abc: 4.7752 4.7752 3.6338
angles: 90.00 90.00 120.00
Closest atoms and distances in Å follow each position.
Space group P3m1 (No. 156)
Asymmetric unit:
Zn 0.0000 0.0000 0.0000 [1 per cell]  3 In 2.76
In 0.3333 0.6667 0.0380 [1 per cell]  3 Zn 2.76
Pb 0.6667 0.3333 0.5287 [1 per cell]  6 Zn 3.25-3.36, 6 In 3.28-3.32, 2 Pb 3.63



Entry 8:
Entry from Alexandria: a PBEsol-optimized structure of Sr2LiY (meta-GGA SCAN).

Distance to the lowest polymorph of the same formula = 0.0000 eV/atom
Formation enthalpy at 0 K = 134 meV/atom
Magnetization = 1.19 μB per cell

abc: 3.9151 3.9151 9.7022
angles: 90.00 90.00 90.00
Closest atoms and distances in Å follow each position.
Space group P4mm (No. 99)
Asymmetric unit:
Sr 0.0000 0.0000 0.0000 [1 per cell]  4 Li 3.50, 1 Y 3.81, 4 Sr 3.92
Sr 0.5000 0.5000 0.3317 [1 per cell]  4 Y 3.85, 8 Sr 3.92-4.25
Li 0.5000 0.5000 0.7788 [1 per cell]  4 Y 3.23, 4 Sr 3.50
Y 0.0000 0.0000 0.6072 [1 per cell]  4 Li 3.23



| no. | density of states at the Fermi level (states/eV/f.u.) | volume (A^3/atom) | total energy (eV per cell) |
| --- | --- | --- | --- |
| 1 | 13.7 | 29.0 | -862.44 |
| 2 | 3.8 | 24.0 | -162.19 |
| 3 | 3.3 | 20.8 | -224.87 |
| 4 | 2.2 | 20.2 | -76.46 |
| 5 | 1.5 | 20.7 | -977.04 |
| 6 | 3.2 | 34.0 | -401.43 |
| 7 | 1.3 | 23.9 | -122.17 |
| 8 | 3.9 | 37.2 | -74.25 |